The following is a PBE calculation of a relaxed TlCuF2 crystal, from the Alexandria database.

Results
Mass density ... 5.558 g cm⁻³
ΔE_f (raw) ... -1.397 eV/atom

```
TlCuF2
1.0
1.974 1.140 6.773
-1.974 1.140 6.773
0.000 -2.279 6.773
Tl Cu F
1 1 2
Cartesian
0.000 0.000 0.000 Tl
0.000 0.000 10.159 Cu
0.000 0.000 8.337 F
0.000 0.000 11.980 F
```


The following is a PBE calculation of a relaxed TlCu3F crystal, from the Alexandria database.

Results
Mass density ... 8.769 g cm⁻³
ΔE_f (raw) ... 0.065 eV/atom

```
TlCu3F
1.0
4.280 0.000 0.000
0.000 4.280 0.000
0.000 0.000 4.280
Tl Cu F
1 3 1
Cartesian
0.000 0.000 0.000 Tl
0.000 2.140 2.140 Cu
2.140 0.000 2.140 Cu
2.140 2.140 0.000 Cu
2.140 2.140 2.140 F
```


The following is a PBE calculation of a relaxed TlCuF2 crystal, from the Alexandria database.

Results
Mass density ... 8.327 g cm⁻³
ΔE_f (raw) ... -1.028 eV/atom

```
TlCuF2
1.0
0.000 3.124 3.124
3.124 0.000 3.124
3.124 3.124 0.000
Tl Cu F
1 1 2
Cartesian
0.000 0.000 0.000 Tl
3.124 3.124 3.124 Cu
1.562 1.562 1.562 F
4.687 4.687 4.687 F
```


The following is a PBE calculation of a relaxed Tl2Cu3F10 crystal, from the Alexandria database.

Results
Mass density ... 6.336 g cm⁻³
ΔE_f (raw) ... -1.573 eV/atom

```
Tl2Cu3F10
1.0
9.313 -3.056 0.000
9.313 3.056 0.000
-3.134 0.000 7.269
Tl Cu F
4 6 20
Cartesian
1.419 0.000 1.671 Tl
1.167 0.000 6.104 Tl
14.325 0.000 1.165 Tl
14.073 0.000 5.598 Tl
7.746 1.526 3.635 Cu
4.404 0.000 3.500 Cu
7.801 0.000 0.170 Cu
7.691 0.000 7.099 Cu
11.089 0.000 3.769 Cu
7.746 -1.526 3.635 Cu
3.090 1.528 3.635 F
-1.710 0.000 4.909 F
6.470 1.354 0.211 F
5.819 1.475 3.371 F
4.211 0.000 1.647 F
9.313 1.265 0.000 F
4.510 0.000 5.381 F
9.673 1.475 3.898 F
9.022 1.354 7.058 F
7.918 0.000 2.307 F
3.090 -1.528 3.635 F
7.575 0.000 4.962 F
6.470 -1.354 0.211 F
5.819 -1.475 3.371 F
10.982 0.000 1.889 F
9.313 -1.265 0.000 F
11.282 0.000 5.622 F
9.673 -1.475 3.898 F
9.022 -1.354 7.058 F
17.203 0.000 2.361 F
```


The following is a PBE calculation of a relaxed TlCuF2 crystal, from the Alexandria database.

Results
Mass density ... 6.163 g cm⁻³
ΔE_f (raw) ... -1.429 eV/atom

```
TlCuF2
1.0
6.642 0.000 0.000
0.000 4.070 0.000
-2.719 0.000 6.098
Tl Cu F
2 2 4
Cartesian
0.249 1.017 1.872 Tl
3.674 3.052 4.225 Tl
0.308 1.017 5.206 Cu
3.615 3.052 0.892 Cu
-1.493 1.017 5.568 F
1.957 3.052 1.679 F
1.966 1.017 4.419 F
5.416 3.052 0.530 F
```


The following is a PBE calculation of a relaxed TlCu2F8 crystal, from the Alexandria database.

Results
Mass density ... 5.440 g cm⁻³
ΔE_f (raw) ... -1.528 eV/atom

```
TlCu2F8
1.0
4.804 -3.484 0.000
4.804 3.484 0.000
-0.007 0.000 4.409
Tl Cu F
1 2 8
Cartesian
0.000 0.000 0.000 Tl
3.701 0.000 1.084 Cu
5.900 0.000 3.325 Cu
3.725 1.900 1.098 F
1.818 0.000 1.213 F
5.876 1.900 3.311 F
3.974 0.000 3.312 F
5.627 0.000 1.097 F
3.725 -1.900 1.098 F
7.783 0.000 3.195 F
5.876 -1.900 3.311 F
```


The following is a PBE calculation of a relaxed Tl3Cu2F7 crystal, from the Alexandria database.

Results
Mass density ... 7.484 g cm⁻³
ΔE_f (raw) ... -1.672 eV/atom

```
Tl3Cu2F7
1.0
-2.090 2.090 11.091
2.090 -2.090 11.091
2.090 2.090 -11.091
Tl Cu F
3 2 7
Cartesian
0.000 0.000 0.000 Tl
0.000 0.000 4.095 Tl
0.000 0.000 18.087 Tl
0.000 0.000 9.035 Cu
0.000 0.000 13.148 Cu
2.090 0.000 2.086 F
0.000 0.000 7.054 F
2.090 0.000 9.006 F
0.000 0.000 11.091 F
0.000 2.090 2.086 F
0.000 0.000 15.129 F
0.000 2.090 9.006 F
```


The following is a PBE calculation of a relaxed Tl2CuF crystal, from the Alexandria database.

Results
Mass density ... 7.221 g cm⁻³
ΔE_f (raw) ... -0.457 eV/atom

```
Tl2CuF
1.0
-3.101 3.101 5.876
3.101 -3.101 5.876
3.101 3.101 -5.876
Tl Cu F
4 2 2
Cartesian
4.651 1.475 -1.469 Tl
1.475 1.550 1.469 Tl
-1.550 1.626 4.407 Tl
1.626 1.550 7.345 Tl
3.101 0.000 2.938 Cu
0.000 0.000 5.876 Cu
0.000 0.000 0.000 F
0.000 3.101 2.938 F
```


The following is a PBE calculation of a relaxed TlCu4F8 crystal, from the Alexandria database.

Results
Mass density ... 4.371 g cm⁻³
ΔE_f (raw) ... -1.495 eV/atom

```
TlCu4F8
1.0
5.991 0.000 0.000
2.989 6.059 0.000
2.952 -1.376 12.778
Tl Cu F
2 8 16
Cartesian
0.000 0.000 0.000 Tl
2.970 2.341 6.389 Tl
1.457 1.094 3.227 Cu
10.475 3.588 9.552 Cu
2.959 4.120 3.164 Cu
5.976 0.560 9.613 Cu
4.451 1.090 3.222 Cu
7.481 3.592 9.557 Cu
5.956 4.122 3.165 Cu
8.973 0.562 9.614 Cu
4.478 1.325 8.550 F
5.983 4.351 8.543 F
2.954 1.838 2.191 F
4.456 4.901 2.121 F
2.955 0.374 4.321 F
5.981 2.858 10.651 F
4.476 -0.220 10.659 F
4.456 3.359 4.227 F
7.476 1.324 8.552 F
7.456 4.902 2.119 F
5.951 1.825 2.127 F
8.977 4.308 8.457 F
7.476 -0.218 10.657 F
8.978 2.845 10.587 F
5.949 0.331 4.235 F
7.454 3.358 4.229 F
```


The following is a PBE calculation of a relaxed Tl2CuF3 crystal, from the Alexandria database.

Results
Mass density ... 7.443 g cm⁻³
ΔE_f (raw) ... -1.491 eV/atom

```
Tl2CuF3
1.0
6.546 -2.671 0.000
6.546 2.671 0.000
-2.646 0.000 6.752
Tl Cu F
4 2 6
Cartesian
1.633 0.526 0.763 Tl
0.310 -0.526 4.139 Tl
10.137 0.526 2.613 Tl
8.814 -0.526 5.989 Tl
4.562 0.337 5.064 Cu
5.885 -0.337 1.688 Cu
5.885 2.077 1.688 F
3.377 0.441 3.639 F
4.700 -0.441 0.263 F
5.746 0.441 6.490 F
7.069 -0.441 3.113 F
4.562 -2.077 5.064 F
```


The following is a PBE calculation of a relaxed Tl2CuF8 crystal, from the Alexandria database.

Results
Mass density ... 6.786 g cm⁻³
ΔE_f (raw) ... -1.703 eV/atom

```
Tl2CuF8
1.0
4.614 -3.507 0.000
4.614 3.507 0.000
-1.354 0.000 4.720
Tl Cu F
2 1 8
Cartesian
1.083 0.000 1.911 Tl
6.791 0.000 2.809 Tl
4.614 0.000 0.000 Cu
-0.379 0.000 3.659 F
2.257 1.350 3.473 F
3.104 0.000 1.133 F
5.617 1.350 1.248 F
2.257 -1.350 3.473 F
4.769 0.000 3.588 F
5.617 -1.350 1.248 F
8.253 0.000 1.061 F
```


The following is a PBE calculation of a relaxed TlCu3F8 crystal, from the Alexandria database.

Results
Mass density ... 4.783 g cm⁻³
ΔE_f (raw) ... -1.441 eV/atom

```
TlCu3F8
1.0
5.353 0.000 0.000
-2.677 4.636 0.000
0.000 0.000 7.652
Tl Cu F
1 3 8
Cartesian
0.000 0.000 0.000 Tl
0.000 0.000 3.826 Cu
0.000 3.091 5.357 Cu
2.677 1.545 2.295 Cu
-1.874 3.257 4.969 F
0.793 1.385 4.969 F
1.596 0.006 2.683 F
0.000 3.091 7.189 F
2.677 1.545 0.462 F
1.081 4.630 4.969 F
1.884 3.251 2.683 F
4.550 1.379 2.683 F
```


The following is a PBE calculation of a relaxed TlCu7F12 crystal, from the Alexandria database.

Results
Mass density ... 5.860 g cm⁻³
ΔE_f (raw) ... -1.434 eV/atom

```
TlCu7F12
1.0
-3.961 3.961 3.961
3.961 -3.961 3.961
3.961 3.961 -3.961
Tl Cu F
1 7 12
Cartesian
0.000 0.000 0.000 Tl
1.980 1.980 -1.980 Cu
1.980 -1.980 1.980 Cu
3.961 0.000 0.000 Cu
-1.980 1.980 1.980 Cu
0.000 3.961 0.000 Cu
0.000 0.000 3.961 Cu
1.980 1.980 1.980 Cu
3.961 2.556 -1.423 F
2.538 0.000 1.405 F
5.384 0.000 1.405 F
1.405 2.538 0.000 F
2.556 -1.423 3.961 F
0.000 1.405 2.538 F
3.961 2.556 1.423 F
1.405 5.384 0.000 F
2.556 1.423 3.961 F
-1.423 3.961 2.556 F
1.423 3.961 2.556 F
0.000 1.405 5.384 F
```


The following is a PBE calculation of a relaxed TmTlCu2F8 crystal, from the Alexandria database.

Results
Mass density ... 4.718 g cm⁻³
ΔE_f (raw) ... -2.292 eV/atom

```
TmTlCu2F8
1.0
5.820 0.000 0.000
-2.910 5.041 0.000
0.000 0.000 7.826
Tm Tl Cu F
1 1 2 8
Cartesian
0.000 0.000 0.000 Tm
0.000 0.000 3.913 Tl
0.000 3.360 5.530 Cu
2.910 1.680 2.296 Cu
0.000 1.658 6.481 F
-1.474 4.211 6.481 F
1.436 0.829 1.346 F
0.000 3.360 3.686 F
2.910 1.680 4.140 F
1.474 4.211 6.481 F
4.384 0.829 1.346 F
2.910 3.382 1.346 F
```